No. 1
VASP calculation (PBE) on a relaxed Sc2UC crystal.

**SG**: No. 166
**Magnetic moment**: 0.41 μB per atom
**Energy relative to the elements**: -18.1 meV per atom
**Uncorrected energy**: -33.25 eV/cell

Cell and atoms, written as extended XYZ:
```
4
Lattice="-1.230 -1.824 -2.267 1.430 -2.699 -0.806 -4.735 -5.881 5.100" Properties=species:S:1:pos:R:3 pbc="T T T"
C -2.268 -5.201 1.014
Sc -3.016 -4.315 2.908
Sc -1.519 -6.088 -0.880
U 0.000 0.000 0.000
```

---

No. 2
VASP calculation (PBE) on a relaxed Sc5UC4 crystal.

**SG**: No. 12
**Magnetic moment**: 0.00 μB per atom
**Energy relative to the elements**: -413.5 meV per atom
**Uncorrected energy**: -83.98 eV/cell

Cell and atoms, written as extended XYZ:
```
10
Lattice="-0.115 2.385 -2.401 -1.272 -4.736 -4.643 -6.619 0.739 3.439" Properties=species:S:1:pos:R:3 pbc="T T T"
Sc -2.605 -0.867 -0.736
C -2.386 1.417 -0.866
C -0.343 -1.171 -1.147
Sc -0.693 -1.176 -3.522
Sc -3.344 -3.377 -3.194
C -5.620 -3.030 -2.739
U -0.058 1.192 -1.200
C -7.663 -0.441 -2.458
Sc -4.662 1.765 -0.411
Sc -5.400 -0.746 -2.869
```

---

No. 3
VASP calculation (PBE) on a relaxed Sc2U3C4 crystal.

**SG**: No. 12
**Magnetic moment**: 0.28 μB per atom
**Energy relative to the elements**: -194.9 meV per atom
**Uncorrected energy**: -85.18 eV/cell

Cell and atoms, written as extended XYZ:
```
9
Lattice="3.310 0.000 0.814 1.482 5.751 1.108 -0.104 0.427 7.559" Properties=species:S:1:pos:R:3 pbc="T T T"
Sc 2.206 1.201 5.300
C 1.926 5.378 6.438
C 1.670 2.129 7.479
U 0.000 0.000 0.000
C 2.762 0.800 3.043
U 1.216 2.422 2.193
U 3.472 3.756 7.288
C 3.017 4.050 2.003
Sc 2.481 4.977 4.181
```

---

No. 4
VASP calculation (PBE) on a relaxed ScUC2 crystal.

**SG**: No. 160
**Magnetic moment**: 0.00 μB per atom
**Energy relative to the elements**: -110.7 meV per atom
**Uncorrected energy**: -36.51 eV/cell

Cell and atoms, written as extended XYZ:
```
4
Lattice="-0.784 -0.555 -3.298 -1.398 -2.989 -0.953 -5.872 0.950 -0.553" Properties=species:S:1:pos:R:3 pbc="T T T"
Sc -4.107 -1.264 -2.388
C -4.636 0.438 -0.760
U -7.312 -1.418 -3.389
C -1.898 -0.696 -1.220
```

---

No. 5
VASP calculation (PBE) on a relaxed ScUC crystal.

**SG**: No. 107
**Magnetic moment**: 0.18 μB per atom
**Energy relative to the elements**: 200.0 meV per atom
**Uncorrected energy**: -26.24 eV/cell

Cell and atoms, written as extended XYZ:
```
3
Lattice="2.966 0.000 0.000 0.000 2.966 0.000 -1.483 -1.483 5.409" Properties=species:S:1:pos:R:3 pbc="T T T"
C 0.000 0.000 3.015
Sc 1.483 1.483 4.431
U 1.483 1.483 1.750
```

---

No. 6
VASP calculation (PBE) on a relaxed Sc5U2C5 crystal.

**SG**: No. 12
**Magnetic moment**: 0.43 μB per atom
**Energy relative to the elements**: -231.5 meV per atom
**Uncorrected energy**: -103.13 eV/cell

Cell and atoms, written as extended XYZ:
```
12
Lattice="3.217 0.000 0.616 1.295 5.223 1.947 -0.382 0.062 10.708" Properties=species:S:1:pos:R:3 pbc="T T T"
C 0.410 1.020 6.571
Sc 2.065 2.643 6.635
U 3.177 1.589 9.539
C 0.000 0.000 0.000
C 2.736 2.258 3.132
U 0.953 3.697 3.731
C 1.395 3.027 10.139
C 3.720 4.265 6.699
Sc 2.715 4.012 11.954
Sc 0.844 0.588 4.305
Sc 3.287 4.697 8.965
Sc 1.415 1.273 1.317
```